No. 1
VASP calculation (PBE) on crystalline ZnFeCo2 at its relaxed geometry.

Cell: 6.5025 6.5025 4.9367 Å, 90.00 90.00 90.00°
Closest atoms and distances in Å follow each position.
Space group I-42d (No. 122)
Inequivalent atoms, fractional coordinates:
Zn1 0.0000 0.0000 0.0000 (multiplicity 4)  2 Fe 2.47, 4 Co 2.47
Fe1 0.0000 0.0000 0.5000 (multiplicity 4)  4 Co 2.29, 2 Zn 2.47
Co1 0.2293 0.2500 0.6250 (multiplicity 8)  2 Fe 2.29, 2 Zn 2.47, 2 Co 2.48

The formation enthalpy at 0 K is 0.441 eV per atom.

No. 2
VASP calculation (PBE) on crystalline ZnFe2Co2 at its relaxed geometry.

Cell: 6.8591 6.8591 2.6356 Å, 90.00 90.00 90.00°
Closest atoms and distances in Å follow each position.
Space group P4/mbm (No. 127)
Inequivalent atoms, fractional coordinates:
Zn1 0.0000 0.0000 0.0000 (multiplicity 2)  2 Zn 2.64, 4 Fe 2.64, 8 Co 2.91
Fe1 0.1419 0.3581 0.0000 (multiplicity 4)  6 Co 2.38-2.42, 2 Fe 2.64, 2 Zn 2.64
Co1 0.1533 0.6533 0.5000 (multiplicity 4)  6 Fe 2.38-2.42, 2 Co 2.64

The formation enthalpy at 0 K is 0.159 eV per atom. The calculation puts the energy above the lowest structure with this stoichiometry at 42 meV/atom.